No. 1
Compound: LiAlTcRu2
Source: Alexandria via LeMat-Bulk
Functional: SCAN
Structure: single point on PBEsol structure

Geometry as POSCAR:
```
LiAlTcRu2
1.0
4.0130 0.0000 0.0000
0.0000 4.0423 0.0000
0.0000 0.0000 4.0423
Tc Ru Al Li
1 2 1 1
Cartesian
2.0065 2.0212 2.0212 Tc
0.0000 2.0212 0.0000 Ru
0.0000 0.0000 2.0212 Ru
2.0065 0.0000 0.0000 Al
0.0000 0.0000 0.0000 Li
```

The calculated formation energy comes out at 0.8399 eV per atom.

***

No. 2
Compound: Be2ReTe
Source: Alexandria via LeMat-Bulk
Functional: SCAN
Structure: single point on PBEsol structure

Geometry as POSCAR:
```
Be2ReTe
1.0
-1.4033 1.0997 -2.7069
-3.7180 0.3102 2.0535
3.4240 2.9028 1.3448
Be Te Re
2 1 1
Cartesian
-1.7406 4.1317 0.6404 Be
-1.3834 2.1426 1.5877 Be
-0.2948 2.2497 -0.8737 Te
-2.5364 0.8064 -0.2980 Re
```

As for the raw formation energy: 0.51 eV per atom.

***

No. 3
Compound: YZr2Co
Source: Alexandria via LeMat-Bulk
Functional: SCAN
Structure: single point on PBEsol structure

Geometry as POSCAR:
```
YZr2Co
1.0
3.9579 0.0000 0.0000
0.0000 3.9579 0.0000
-1.9789 -1.9789 5.0999
Co Zr Y
1 2 1
Cartesian
1.9789 1.9789 0.0000 Co
0.0000 1.9789 2.5499 Zr
1.9789 0.0000 2.5499 Zr
0.0000 0.0000 0.0000 Y
```

The calculated formation energy comes out at 0.3077 eV per atom. As for the distance to the lowest polymorph of the same formula: 305.4 meV/atom.

***

| no. | N(E_F) (states/eV per cell) | final energy (eV per atom) | theoretical density (g/cm3) |
| --- | --- | --- | --- |
| 1 | 3.4 | -22.131 | 8.5 |
| 2 | 1.8 | -28.754 | 10.4 |
| 3 | 3.8 | -26.328 | 6.9 |